The following is a GGA-PBE calculation of a relaxed structure of Y2TmTe, from the Alexandria database.

Unit cell a=10.119 b=10.119 c=10.119 alpha=21.93 beta=21.93 gamma=21.93
Sites, in units of the cell vectors:
Y 0.239 0.239 0.239
Y 0.761 0.761 0.761
Tm 0.000 0.000 0.000
Te 0.500 0.500 0.500

Values from the calculation:
E_form (uncorrected): -2.10 eV per formula unit
Energy above the lowest structure with this stoichiometry: 52 kJ/mol of formula units
E_tot: -22.64 eV for the cell shown

---

The following is a GGA-PBE calculation of a relaxed structure of LiZn6Cd2, from the Alexandria database.

Unit cell a=6.119 b=6.119 c=6.119 alpha=60.00 beta=60.00 gamma=60.00
Sites, in units of the cell vectors:
Li 0.000 0.000 0.000
Zn 0.278 0.278 0.722
Zn 0.278 0.722 0.278
Zn 0.278 0.722 0.722
Zn 0.722 0.278 0.278
Zn 0.722 0.278 0.722
Zn 0.722 0.722 0.278
Cd 0.250 0.250 0.250
Cd 0.750 0.750 0.750

Values from the calculation:
DFT formation energy: 0.161 eV per atom
E_tot: -9.94 eV for the cell shown

---

The following is a GGA-PBE calculation of a relaxed structure of HgBH2Ir, from the Alexandria database.

Unit cell a=3.754 b=3.754 c=4.188 alpha=90.00 beta=90.00 gamma=90.00
Sites, in units of the cell vectors:
Hg 0.000 0.000 0.000
B 0.500 0.500 0.500
H 0.000 0.500 0.500
H 0.500 0.000 0.500
Ir 0.500 0.500 0.000

Values from the calculation:
E_tot: -17.67 eV for the cell shown

---

The following is a GGA-PBE calculation of a relaxed structure of HfTaPd4, from the Alexandria database.

Unit cell a=4.677 b=4.677 c=5.658 alpha=104.70 beta=104.70 gamma=111.20
Sites, in units of the cell vectors:
Hf 0.000 0.000 0.000
Ta 0.500 0.500 0.500
Pd 0.071 0.441 0.745
Pd 0.441 0.071 0.745
Pd 0.559 0.929 0.255
Pd 0.929 0.559 0.255

Values from the calculation:
DFT formation energy: -0.366 eV per atom
E_tot: -44.77 eV for the cell shown

---

E_tot of number 1 (Y2TmTe)?
-22.64 eV for the cell shown

---

Among the records above, which one has the lowest E_tot?
HfTaPd4